Computed, not measured: a relaxed TbCd6Hg12 crystal at the GGA-PBE level of DFT.

abc: 7.891 7.891 7.891
angles: 92.67 92.67 92.67
Fractional positions:
Tb1 0.000 0.000 0.000
Cd1 0.132 0.277 0.730
Cd2 0.270 0.868 0.723
Cd3 0.277 0.730 0.132
Cd4 0.723 0.270 0.868
Cd5 0.730 0.132 0.277
Cd6 0.868 0.723 0.270
Hg1 0.037 0.373 0.146
Hg2 0.146 0.037 0.373
Hg3 0.200 0.546 0.467
Hg4 0.373 0.146 0.037
Hg5 0.454 0.533 0.800
Hg6 0.467 0.200 0.546
Hg7 0.533 0.800 0.454
Hg8 0.546 0.467 0.200
Hg9 0.627 0.854 0.963
Hg10 0.800 0.454 0.533
Hg11 0.854 0.963 0.627
Hg12 0.963 0.627 0.854

Calculated values
As for the spin magnetization: 0.0 μB per formula unit. The calculation puts the volume at 489.7 Å³/f.u. The calculation puts the density of states at the Fermi level at 6.27 states/eV/cell. As for the symmetry: No. 148. The calculation puts the energy relative to the lowest polymorph listed for this composition at 0.005 eV/atom. The formation energy is -0.8 eV/f.u. Its calculated total energy is -0.765 eV per atom.

=====

Computed, not measured: a relaxed Tb3Cd2Hg8 crystal at the GGA-PBE level of DFT.

abc: 11.526 11.526 11.526
angles: 30.39 30.39 30.39
Fractional positions:
Tb1 0.000 0.000 0.000
Tb2 0.190 0.190 0.190
Tb3 0.810 0.810 0.810
Cd1 0.367 0.367 0.367
Cd2 0.633 0.633 0.633
Hg1 0.225 0.724 0.724
Hg2 0.276 0.276 0.775
Hg3 0.276 0.775 0.276
Hg4 0.283 0.283 0.283
Hg5 0.717 0.717 0.717
Hg6 0.724 0.225 0.724
Hg7 0.724 0.724 0.225
Hg8 0.775 0.276 0.276

Calculated values
As for the spin magnetization: 0.0 μB per formula unit. The calculation puts the volume at 347.2 Å³/f.u. The calculation puts the density of states at the Fermi level at 11.79 states/eV/cell. As for the symmetry: No. 166. The formation energy is -1.2 eV/f.u. Its calculated total energy is -1.485 eV per atom.

=====

Computed, not measured: a relaxed Tb2Cd16Hg crystal at the GGA-PBE level of DFT.

abc: 7.664 7.664 7.664
angles: 82.23 82.23 82.23
Fractional positions:
Tb1 0.000 0.000 0.000
Tb2 0.344 0.344 0.344
Cd1 0.020 0.020 0.549
Cd2 0.020 0.549 0.020
Cd3 0.208 0.648 0.648
Cd4 0.298 0.298 0.889
Cd5 0.298 0.889 0.298
Cd6 0.369 0.677 0.980
Cd7 0.369 0.980 0.677
Cd8 0.549 0.020 0.020
Cd9 0.591 0.591 0.591
Cd10 0.648 0.208 0.648
Cd11 0.648 0.648 0.208
Cd12 0.677 0.369 0.980
Cd13 0.677 0.980 0.369
Cd14 0.889 0.298 0.298
Cd15 0.980 0.369 0.677
Cd16 0.980 0.677 0.369
Hg1 0.787 0.787 0.787

Calculated values
As for the spin magnetization: 0.0 μB per formula unit. The calculation puts the volume at 438.8 Å³/f.u. The calculation puts the density of states at the Fermi level at 5.34 states/eV/cell. As for the symmetry: No. 160. The formation energy is -2.0 eV/f.u. Its calculated total energy is -1.382 eV per atom.

=====

Computed, not measured: a relaxed TbCd6Hg2 crystal at the GGA-PBE level of DFT.

abc: 8.910 8.910 3.204
angles: 100.31 100.31 59.50
Fractional positions:
Tb1 0.000 0.000 0.000
Cd1 0.004 0.343 0.676
Cd2 0.327 0.673 0.500
Cd3 0.343 0.004 0.676
Cd4 0.657 0.996 0.324
Cd5 0.673 0.327 0.500
Cd6 0.996 0.657 0.324
Hg1 0.350 0.350 0.841
Hg2 0.650 0.650 0.159

Calculated values
As for the spin magnetization: 0.0 μB per formula unit. The calculation puts the volume at 214.5 Å³/f.u. The calculation puts the density of states at the Fermi level at 4.33 states/eV/cell. As for the symmetry: No. 12. The calculation puts the energy relative to the lowest polymorph listed for this composition at 0.011 eV/atom. The formation energy is -0.8 eV/f.u. Its calculated total energy is -1.286 eV per atom.

=====

Computed, not measured: a relaxed Tb3Cd2Hg3 crystal at the GGA-PBE level of DFT.

abc: 7.925 7.925 3.828
angles: 90.00 90.00 120.00
Fractional positions:
Tb1 0.000 0.368 0.000
Tb2 0.368 0.000 0.000
Tb3 0.632 0.632 0.000
Cd1 0.333 0.667 0.500
Cd2 0.667 0.333 0.500
Hg1 0.000 0.748 0.500
Hg2 0.252 0.252 0.500
Hg3 0.748 0.000 0.500

Calculated values
As for the spin magnetization: 0.0 μB per formula unit. The calculation puts the volume at 208.2 Å³/f.u. The calculation puts the density of states at the Fermi level at 4.73 states/eV/cell. As for the symmetry: No. 189. The calculation puts the energy relative to the lowest polymorph listed for this composition at 0.054 eV/atom. The formation energy is -2.5 eV/f.u. Its calculated total energy is -2.391 eV per atom.

=====

Computed, not measured: a relaxed TbCd3Hg crystal at the GGA-PBE level of DFT.

abc: 9.526 4.224 12.229
angles: 90.00 90.00 90.00
Fractional positions:
Tb1 0.169 0.250 0.003
Tb2 0.331 0.750 0.503
Tb3 0.669 0.250 0.497
Tb4 0.831 0.750 0.997
Cd1 0.090 0.250 0.386
Cd2 0.091 0.750 0.199
Cd3 0.128 0.750 0.802
Cd4 0.372 0.250 0.302
Cd5 0.409 0.250 0.699
Cd6 0.410 0.750 0.886
Cd7 0.590 0.250 0.114
Cd8 0.591 0.750 0.301
Cd9 0.628 0.750 0.698
Cd10 0.872 0.250 0.198
Cd11 0.909 0.250 0.801
Cd12 0.910 0.750 0.614
Hg1 0.127 0.250 0.619
Hg2 0.373 0.750 0.119
Hg3 0.627 0.250 0.881
Hg4 0.873 0.750 0.381

Calculated values
As for the spin magnetization: 0.0 μB per formula unit. The calculation puts the volume at 123.0 Å³/f.u. The calculation puts the density of states at the Fermi level at 8.39 states/eV/cell. As for the symmetry: No. 62. The formation energy is -0.9 eV/f.u. Its calculated total energy is -1.718 eV per atom.

=====

Computed, not measured: a relaxed TbCd6Hg2 crystal at the GGA-PBE level of DFT.

abc: 8.407 8.407 3.942
angles: 96.76 96.76 125.73
Fractional positions:
Tb1 0.000 0.000 0.000
Cd1 0.170 0.494 0.175
Cd2 0.345 0.345 0.678
Cd3 0.494 0.170 0.175
Cd4 0.506 0.830 0.825
Cd5 0.655 0.655 0.322
Cd6 0.830 0.506 0.825
Hg1 0.166 0.834 0.500
Hg2 0.834 0.166 0.500

Calculated values
As for the spin magnetization: 0.0 μB per formula unit. The calculation puts the volume at 218.4 Å³/f.u. The calculation puts the density of states at the Fermi level at 4.08 states/eV/cell. As for the symmetry: No. 12. The calculation puts the energy relative to the lowest polymorph listed for this composition at 0.000 eV/atom. The formation energy is -0.9 eV/f.u. Its calculated total energy is -1.297 eV per atom.

=====

Computed, not measured: a relaxed TbCd3Hg3 crystal at the GGA-PBE level of DFT.

abc: 5.957 5.957 5.957
angles: 90.00 90.00 90.00
Fractional positions:
Tb1 0.000 0.000 0.000
Cd1 0.000 0.500 0.500
Cd2 0.500 0.000 0.500
Cd3 0.500 0.500 0.000
Hg1 0.000 0.000 0.500
Hg2 0.000 0.500 0.000
Hg3 0.500 0.000 0.000

Calculated values
As for the spin magnetization: 0.0 μB per formula unit. The calculation puts the volume at 211.4 Å³/f.u. The calculation puts the density of states at the Fermi level at 4.97 states/eV/cell. As for the symmetry: No. 221. The calculation puts the energy relative to the lowest polymorph listed for this composition at 0.227 eV/atom. The formation energy is 0.6 eV/f.u. Its calculated total energy is -1.102 eV per atom.

=====

The highest formation energy belongs to which entry?
TbCd3Hg3

=====

What is the formula in the eighth record?
TbCd3Hg3